# KAc4Fe3O12

KAc4Fe3O12 after structural relaxation (GGA+U, Alexandria).

The calculated total energy is -273.65 eV per cell. The density is 6.493 Mg/m³.

The structure belongs to space group Im-3 (No. 204); the cell edges are 8.743, 8.743 and 8.743 Å and the angles 90.00°, 90.00° and 90.00°. The inequivalent atoms are K at (0.000, 0.000, 0.000), Ac at (0.250, 0.250, 0.250), Fe at (0.000, 0.000, 0.500) and O at (0.000, 0.344, 0.147).